[1]
Density functional theory data (PBE) for crystalline CuAgI2 at its relaxed geometry.

* distance to the lowest polymorph of the same formula: 127.9 meV per atom

Cell lengths 4.5936, 4.5936, 23.9564 Å; angles 90.00, 90.00, 120.00 degrees
Space group R-3m (No. 166, hexagonal axes)
Inequivalent atoms, fractional coordinates:
Cu 0.0000 0.0000 0.0000
Ag 0.0000 0.0000 0.5000
I 0.0000 0.0000 0.1011

=====

[2]
Density functional theory data (PBE) for crystalline CuAg2I6 at its relaxed geometry.

Cell lengths 7.3459, 7.5714, 13.3386 Å; angles 90.00, 106.20, 90.00 degrees
Space group P2_1/c (No. 14)
Inequivalent atoms, fractional coordinates:
Cu 0.0000 0.0000 0.0000
Ag 0.3620 0.1368 0.8400
I 0.1119 0.2078 0.4410
I 0.2260 0.6740 0.4172
I 0.4218 0.0217 0.2757

=====

[3]
Density functional theory data (PBE) for crystalline CuAg3I6 at its relaxed geometry.

Cell lengths 12.6448, 12.6448, 14.1779 Å; angles 90.00, 90.00, 120.00 degrees
Space group R-3 (No. 148, hexagonal axes)
Inequivalent atoms, fractional coordinates:
Cu 0.0000 0.0000 0.0000
Cu 0.0000 0.0000 0.5000
Ag 0.0419 0.4234 0.3641
I 0.0009 0.1780 0.3814
I 0.0062 0.1885 0.8890

=====

[4]
Density functional theory data (PBE) for crystalline CuAg3I at its relaxed geometry.

* distance to the lowest polymorph of the same formula: 0.0 meV per atom

Cell lengths 4.9629, 4.9629, 4.9629 Å; angles 90.00, 90.00, 90.00 degrees
Space group Pm-3m (No. 221)
Inequivalent atoms, fractional coordinates:
Cu 0.0000 0.0000 0.0000
Ag 0.0000 0.0000 0.5000
I 0.5000 0.5000 0.5000

=====

[5]
Density functional theory data (PBE) for crystalline Cu3AgI6 at its relaxed geometry.

Cell lengths 11.3208, 13.8229, 4.0516 Å; angles 90.00, 90.00, 90.00 degrees
Space group Cmmm (No. 65)
Inequivalent atoms, fractional coordinates:
Cu 0.0000 0.0000 0.0000
Cu 0.2500 0.2500 0.5000
Ag 0.0000 0.5000 0.0000
I 0.0000 0.3567 0.5000
I 0.1753 0.1344 0.0000

=====

[6]
Density functional theory data (PBE) for crystalline CuAg2I4 at its relaxed geometry.

* distance to the lowest polymorph of the same formula: 59.5 meV per atom

Cell lengths 14.5077, 4.2859, 7.5657 Å; angles 90.00, 111.57, 90.00 degrees
Space group C2/m (No. 12)
Inequivalent atoms, fractional coordinates:
Cu 0.0000 0.0000 0.0000
Ag 0.2233 0.5000 0.7202
I 0.1051 0.0000 0.7913
I 0.1363 0.5000 0.2751

=====

[7]
Density functional theory data (PBE) for crystalline Cu2Ag2I5 at its relaxed geometry.

* distance to the lowest polymorph of the same formula: 62.8 meV per atom

Cell lengths 19.7903, 7.3533, 7.7262 Å; angles 90.00, 90.00, 90.00 degrees
Space group Ima2 (No. 46)
Inequivalent atoms, fractional coordinates:
Cu 0.0000 0.0000 0.0000
Cu 0.2500 0.0456 0.0951
Ag 0.1355 0.5069 0.1243
I 0.0396 0.2485 0.7469
I 0.1427 0.6276 0.4959
I 0.2500 0.1313 0.4373

=====

[8]
Density functional theory data (PBE) for crystalline CuAg2I at its relaxed geometry.

* distance to the lowest polymorph of the same formula: 0.0 meV per atom

Cell lengths 6.0352, 6.0352, 13.2444 Å; angles 90.00, 90.00, 90.00 degrees
Space group I-42d (No. 122)
Inequivalent atoms, fractional coordinates:
Cu 0.0000 0.0000 0.0000
Ag 0.2028 0.2500 0.1250
I 0.0000 0.0000 0.5000

=====

| no. | total magnetic moment (μB per atom) | formation energy without anion corrections (eV/atom) |
| --- | --- | --- |
| 1 | 0.000 | -0.066 |
| 2 | 0.000 | -0.091 |
| 3 | 0.000 | -0.075 |
| 4 | 0.000 | 0.488 |
| 5 | 0.000 | -0.021 |
| 6 | 0.000 | -0.091 |
| 7 | 0.000 | -0.103 |
| 8 | 0.000 | 0.435 |